Record 1
Tb5Dy2Tl: optimized geometry, PBE-GGA.

abc: 7.036 7.036 7.018
angles: 120.09 120.09 89.99
Atoms (fractional coordinates):
Tb 0.722 0.222 0.944
Tb 0.222 0.222 0.944
Tb 0.722 0.722 0.944
Tb 0.222 0.722 0.944
Tb 0.722 0.722 0.444
Dy 0.222 0.722 0.444
Dy 0.722 0.222 0.444
Tl 0.222 0.222 0.444

Values from the calculation:
**Density**: 9.0 g/cm3
**Energy above the most stable polymorph in this dataset**: 0 meV/atom
**ΔH_f (0 K)**: -0.036 eV per atom
**V**: 245 Å³/cell

Record 2
Ac2PmSmAs4: optimized geometry, PBE-GGA.

abc: 4.389 7.611 7.597
angles: 70.59 90.00 90.00
Atoms (fractional coordinates):
Ac 0.000 0.000 0.000
Ac 0.500 0.000 0.500
Pm 0.000 0.500 0.500
Sm 0.500 0.500 0.000
As 0.000 0.733 0.756
As 0.000 0.267 0.244
As 0.500 0.734 0.255
As 0.500 0.266 0.745

Values from the calculation:
**Density**: 7.3 g/cm3
**ΔH_f (0 K)**: -1.483 eV per atom
**V**: 239 Å³/cell

Record 3
In2TeP: optimized geometry, PBE-GGA.

abc: 6.422 6.422 3.048
angles: 82.74 82.74 123.77
Atoms (fractional coordinates):
In 0.000 0.000 0.000
In 0.500 0.500 0.000
P 0.500 0.000 0.500
Te 0.000 0.500 0.500

Values from the calculation:
**Density**: 6.4 g/cm3
**Energy above the most stable polymorph in this dataset**: 457 meV/atom
**Raw formation energy**: 304.0 meV/atom
**V**: 101 Å³/cell

Record 4
PmMnSi2Ru: optimized geometry, PBE-GGA.

abc: 4.040 4.040 5.918
angles: 109.96 109.96 90.00
Atoms (fractional coordinates):
Pm 0.000 0.000 0.000
Mn 0.750 0.250 0.500
Si 0.623 0.623 0.245
Si 0.377 0.377 0.755
Ru 0.250 0.750 0.500

Values from the calculation:
**Density**: 7.0 g/cm3
**Raw formation energy**: -748.1 meV/atom
**V**: 85 Å³/cell

Record 5
Gd2HoHg: optimized geometry, PBE-GGA.

abc: 3.619 3.619 8.969
angles: 90.00 90.00 90.00
Atoms (fractional coordinates):
Gd 0.000 0.000 0.775
Gd 0.000 0.000 0.225
Hg 0.500 0.500 0.000
Ho 0.500 0.500 0.500

Values from the calculation:
**Density**: 9.6 g/cm3
**Energy above the most stable polymorph in this dataset**: 0 meV/atom
**ΔH_f (0 K)**: -0.224 eV per atom
**V**: 117 Å³/cell

Record 6
DyZn2Cd: optimized geometry, PBE-GGA.

abc: 4.260 5.183 7.292
angles: 90.00 90.00 90.00
Atoms (fractional coordinates):
Dy 0.000 0.250 0.697
Dy 0.000 0.750 0.303
Zn 0.000 0.750 0.890
Zn 0.000 0.250 0.110
Zn 0.500 0.000 0.000
Zn 0.500 0.500 0.000
Cd 0.500 0.750 0.627
Cd 0.500 0.250 0.373

Values from the calculation:
**Density**: 8.4 g/cm3
**Energy above the most stable polymorph in this dataset**: 0 meV/atom
**ΔH_f (0 K)**: -0.302 eV per atom
**V**: 161 Å³/cell

Record 7
MgZrIr2: optimized geometry, PBE-GGA.

abc: 2.875 2.875 8.478
angles: 90.00 90.00 90.00
Atoms (fractional coordinates):
Ir 0.000 0.000 0.024
Ir 0.500 0.500 0.238
Mg 0.000 0.000 0.460
Zr 0.500 0.500 0.778

Values from the calculation:
**Density**: 11.8 g/cm3
**ΔH_f (0 K)**: -0.137 eV per atom
**V**: 70 Å³/cell

Record 8
OsWCl: optimized geometry, PBE-GGA.

abc: 4.260 4.260 4.260
angles: 60.00 60.00 60.00
Atoms (fractional coordinates):
Cl 0.000 0.000 0.000
Os 0.500 0.500 0.500
W 0.750 0.750 0.750

Values from the calculation:
**Density**: 12.4 g/cm3
**Energy above the most stable polymorph in this dataset**: 752 meV/atom
**Raw formation energy**: 1099.8 meV/atom
**V**: 55 Å³/cell

Record 9
BaFeRe3: optimized geometry, PBE-GGA.

abc: 4.654 4.654 4.654
angles: 90.00 90.00 90.00
Atoms (fractional coordinates):
Re 0.000 0.500 0.000
Re 0.000 0.000 0.500
Re 0.500 0.000 0.000
Ba 0.500 0.500 0.500
Fe 0.000 0.000 0.000

Values from the calculation:
**Density**: 12.4 g/cm3
**Energy above the most stable polymorph in this dataset**: 0 meV/atom
**ΔH_f (0 K)**: 1.568 eV per atom
**V**: 101 Å³/cell

Record 10
Al5V6Au: optimized geometry, PBE-GGA.

abc: 3.874 7.078 7.078
angles: 100.08 105.88 105.88
Atoms (fractional coordinates):
Au 0.000 0.000 0.000
Al 0.500 0.158 0.842
Al 0.000 0.329 0.671
Al 0.500 0.500 0.500
Al 0.000 0.671 0.329
Al 0.500 0.842 0.158
V 0.258 0.087 0.429
V 0.742 0.571 0.913
V 0.764 0.264 0.264
V 0.236 0.736 0.736
V 0.258 0.429 0.087
V 0.742 0.913 0.571

Values from the calculation:
**Density**: 6.1 g/cm3
**ΔH_f (0 K)**: -0.237 eV per atom
**V**: 173 Å³/cell

Record 11
UMoS4: optimized geometry, PBE-GGA.

abc: 6.962 5.910 7.383
angles: 90.00 122.50 90.00
Atoms (fractional coordinates):
U 0.000 0.000 0.000
U 0.500 0.500 0.000
Mo 0.500 0.000 0.500
Mo 0.000 0.500 0.500
S 0.859 0.745 0.196
S 0.641 0.245 0.804
S 0.158 0.234 0.349
S 0.342 0.734 0.651
S 0.141 0.255 0.804
S 0.359 0.755 0.196
S 0.842 0.766 0.651
S 0.658 0.266 0.349

Values from the calculation:
**Density**: 6.0 g/cm3
**Raw formation energy**: -842.6 meV/atom
**V**: 256 Å³/cell

Record 12
Cu3AgCl: optimized geometry, PBE-GGA.

abc: 4.810 4.810 4.810
angles: 90.00 90.00 90.00
Atoms (fractional coordinates):
Cu 0.000 0.500 0.000
Cu 0.000 0.000 0.500
Cu 0.500 0.000 0.000
Ag 0.000 0.000 0.000
Cl 0.500 0.500 0.500

Values from the calculation:
**Density**: 5.0 g/cm3
**Energy above the most stable polymorph in this dataset**: 124 meV/atom
**Raw formation energy**: 859.8 meV/atom
**V**: 111 Å³/cell